A.
VASP calculation (PBE) on a relaxed structure of YGeAsBr2.

Values from the calculation:
- total moment (Bohr magnetons per cell) = 0.05

a = 5.395 Å, b = 5.395 Å, c = 5.800 Å
α = 90.00°, β = 90.00°, γ = 90.00°
Space group P4/mmm (No. 123)
Inequivalent atoms, fractional coordinates:
Y 0.000 0.000 0.000 (multiplicity 1)
Ge 0.500 0.500 0.500 (multiplicity 1)
As 0.000 0.000 0.500 (multiplicity 1)
Br 0.000 0.500 0.000 (multiplicity 2)

B.
VASP calculation (PBE) on a relaxed structure of YGeAsBr2.

Values from the calculation:
- total moment (Bohr magnetons per cell) = 0.00

a = 5.124 Å, b = 5.124 Å, c = 5.283 Å
α = 90.00°, β = 90.00°, γ = 90.00°
Space group P4/mmm (No. 123)
Inequivalent atoms, fractional coordinates:
Y 0.000 0.000 0.000 (multiplicity 1)
Ge 0.500 0.500 0.500 (multiplicity 1)
As 0.500 0.500 0.000 (multiplicity 1)
Br 0.000 0.500 0.500 (multiplicity 2)

Energy comparison, zero being the most stable, in meV/atom: A 0; B 135.

A.
VASP calculation (PBE) on a relaxed structure of ZrGeAs2Br.

Values from the calculation:
- total moment (Bohr magnetons per cell) = 0.45

a = 4.926 Å, b = 4.926 Å, c = 4.981 Å
α = 90.00°, β = 90.00°, γ = 90.00°
Space group P4/mmm (No. 123)
Inequivalent atoms, fractional coordinates:
Zr 0.000 0.000 0.000 (multiplicity 1)
Ge 0.500 0.500 0.500 (multiplicity 1)
As 0.000 0.500 0.500 (multiplicity 2)
Br 0.500 0.500 0.000 (multiplicity 1)

B.
VASP calculation (PBE) on a relaxed structure of ZrGeAs2Br.

Values from the calculation:
- total moment (Bohr magnetons per cell) = 0.00

a = 5.260 Å, b = 5.260 Å, c = 5.193 Å
α = 90.00°, β = 90.00°, γ = 90.00°
Space group P4/mmm (No. 123)
Inequivalent atoms, fractional coordinates:
Zr 0.000 0.000 0.000 (multiplicity 1)
Ge 0.500 0.500 0.500 (multiplicity 1)
As 0.000 0.500 0.000 (multiplicity 2)
Br 0.000 0.000 0.500 (multiplicity 1)

Energy comparison, zero being the most stable, in meV/atom: A 335; B 0.

A.
VASP calculation (PBE) on a relaxed structure of AsHBr2.

Values from the calculation:
- total moment (Bohr magnetons per cell) = 0.00

a = 3.4571 Å, b = 3.4571 Å, c = 23.6719 Å
α = 90.00°, β = 90.00°, γ = 120.00°
Space group R-3m (No. 166, hexagonal axes)
Inequivalent atoms, fractional coordinates:
As 0.0000 0.0000 0.0000 (multiplicity 3)
H 0.0000 0.0000 0.5000 (multiplicity 3)
Br 0.0000 0.0000 0.1081 (multiplicity 6)

B.
VASP calculation (PBE) on a relaxed structure of AsHBr2.

Values from the calculation:
- total moment (Bohr magnetons per cell) = 0.00

a = 3.5683 Å, b = 3.5683 Å, c = 23.8805 Å
α = 90.00°, β = 90.00°, γ = 120.00°
Space group R-3m (No. 166, hexagonal axes)
Inequivalent atoms, fractional coordinates:
As 0.0000 0.0000 0.0000 (multiplicity 3)
H 0.0000 0.0000 0.5000 (multiplicity 3)
Br 0.0000 0.0000 0.4276 (multiplicity 6)

Energy comparison, zero being the most stable, in meV/atom: A 199; B 0.

A.
VASP calculation (PBE) on a relaxed structure of AsHBr2.

Values from the calculation:
- total moment (Bohr magnetons per cell) = 0.00

a = 5.519 Å, b = 5.724 Å, c = 5.731 Å
α = 83.54°, β = 62.33°, γ = 62.23°
Space group P1 (No. 1)
Inequivalent atoms, fractional coordinates:
As 0.000 0.000 0.000 (multiplicity 1)
H 0.357 0.874 0.875 (multiplicity 1)
Br 0.932 0.443 0.955 (multiplicity 1)
Br 0.932 0.956 0.443 (multiplicity 1)

B.
VASP calculation (PBE) on a relaxed structure of AsHBr2.

Values from the calculation:
- total moment (Bohr magnetons per cell) = 1.01

a = 6.844 Å, b = 6.844 Å, c = 6.844 Å
α = 90.00°, β = 90.00°, γ = 90.00°
Space group Fm-3m (No. 225)
Inequivalent atoms, fractional coordinates:
As 0.000 0.000 0.000 (multiplicity 4)
H 0.000 0.000 0.500 (multiplicity 4)
Br 0.250 0.250 0.250 (multiplicity 8)

C.
VASP calculation (PBE) on a relaxed structure of AsHBr2.

Values from the calculation:
- total moment (Bohr magnetons per cell) = 0.00

a = 6.669 Å, b = 6.669 Å, c = 7.505 Å
α = 90.00°, β = 90.00°, γ = 90.00°
Space group I-42d (No. 122)
Inequivalent atoms, fractional coordinates:
As 0.000 0.000 0.000 (multiplicity 4)
H 0.000 0.000 0.500 (multiplicity 4)
Br 0.206 0.250 0.625 (multiplicity 8)

Energy comparison, zero being the most stable, in meV/atom: A 0; B 974; C 812.

A.
VASP calculation (PBE) on a relaxed structure of AsH3Br.

Values from the calculation:
- total moment (Bohr magnetons per cell) = 0.00

a = 6.9029 Å, b = 6.9029 Å, c = 6.0357 Å
α = 90.00°, β = 90.00°, γ = 120.00°
Space group R3m (No. 160, hexagonal axes)
Inequivalent atoms, fractional coordinates:
As 0.0000 0.0000 0.0000 (multiplicity 3)
H 0.1039 0.5519 0.7798 (multiplicity 9)
Br 0.0000 0.0000 0.5346 (multiplicity 3)

B.
VASP calculation (PBE) on a relaxed structure of AsH3Br.

Values from the calculation:
- total moment (Bohr magnetons per cell) = 0.00

a = 3.788 Å, b = 3.788 Å, c = 3.788 Å
α = 90.00°, β = 90.00°, γ = 90.00°
Space group Pm-3m (No. 221)
Inequivalent atoms, fractional coordinates:
As 0.000 0.000 0.000 (multiplicity 1)
H 0.000 0.000 0.500 (multiplicity 3)
Br 0.500 0.500 0.500 (multiplicity 1)

Energy comparison, zero being the most stable, in meV/atom: A 0; B 424.

A.
VASP calculation (PBE) on a relaxed structure of AsHBr3.

Values from the calculation:
- total moment (Bohr magnetons per cell) = 0.00

a = 4.658 Å, b = 4.658 Å, c = 4.658 Å
α = 90.00°, β = 90.00°, γ = 90.00°
Space group Pm-3m (No. 221)
Inequivalent atoms, fractional coordinates:
As 0.000 0.000 0.000 (multiplicity 1)
H 0.500 0.500 0.500 (multiplicity 1)
Br 0.000 0.500 0.500 (multiplicity 3)

B.
VASP calculation (PBE) on a relaxed structure of AsHBr3.

Values from the calculation:
- total moment (Bohr magnetons per cell) = 1.00

a = 5.283 Å, b = 5.283 Å, c = 5.283 Å
α = 90.00°, β = 90.00°, γ = 90.00°
Space group Pm-3m (No. 221)
Inequivalent atoms, fractional coordinates:
As 0.000 0.000 0.000 (multiplicity 1)
H 0.500 0.500 0.500 (multiplicity 1)
Br 0.000 0.000 0.500 (multiplicity 3)

C.
VASP calculation (PBE) on a relaxed structure of AsHBr3.

Values from the calculation:
- total moment (Bohr magnetons per cell) = 0.00

a = 4.311 Å, b = 12.048 Å, c = 6.212 Å
α = 90.00°, β = 91.65°, γ = 90.00°
Space group P2_1/m (No. 11)
Inequivalent atoms, fractional coordinates:
As 0.016 0.250 0.279 (multiplicity 2)
H 0.088 0.250 0.992 (multiplicity 2)
Br 0.115 0.250 0.725 (multiplicity 2)
Br 0.329 0.596 0.748 (multiplicity 4)

Energy comparison, zero being the most stable, in meV/atom: A 903; B 455; C 0.

A.
VASP calculation (PBE) on a relaxed structure of HfAs2HBr.

Values from the calculation:
- total moment (Bohr magnetons per cell) = 0.95

a = 5.167 Å, b = 5.167 Å, c = 5.405 Å
α = 90.00°, β = 90.00°, γ = 90.00°
Space group P4/mmm (No. 123)
Inequivalent atoms, fractional coordinates:
Hf 0.000 0.000 0.000 (multiplicity 1)
As 0.000 0.500 0.000 (multiplicity 2)
H 0.500 0.500 0.500 (multiplicity 1)
Br 0.000 0.000 0.500 (multiplicity 1)

B.
VASP calculation (PBE) on a relaxed structure of HfAs2HBr.

Values from the calculation:
- total moment (Bohr magnetons per cell) = 0.00

a = 4.042 Å, b = 4.042 Å, c = 5.145 Å
α = 90.00°, β = 90.00°, γ = 90.00°
Space group P4/mmm (No. 123)
Inequivalent atoms, fractional coordinates:
Hf 0.000 0.000 0.000 (multiplicity 1)
As 0.000 0.500 0.500 (multiplicity 2)
H 0.500 0.500 0.500 (multiplicity 1)
Br 0.500 0.500 0.000 (multiplicity 1)

Energy comparison, zero being the most stable, in meV/atom: A 166; B 0.

A.
VASP calculation (PBE) on a relaxed structure of HgAsHBr2.

Values from the calculation:
- total moment (Bohr magnetons per cell) = 0.00

a = 5.487 Å, b = 5.487 Å, c = 3.544 Å
α = 90.00°, β = 90.00°, γ = 90.00°
Space group P4/mmm (No. 123)
Inequivalent atoms, fractional coordinates:
Hg 0.000 0.000 0.000 (multiplicity 1)
As 0.500 0.500 0.000 (multiplicity 1)
H 0.500 0.500 0.500 (multiplicity 1)
Br 0.000 0.500 0.500 (multiplicity 2)

B.
VASP calculation (PBE) on a relaxed structure of HgAsHBr2.

Values from the calculation:
- total moment (Bohr magnetons per cell) = 2.67

a = 5.628 Å, b = 5.628 Å, c = 5.328 Å
α = 90.00°, β = 90.00°, γ = 90.00°
Space group P4/mmm (No. 123)
Inequivalent atoms, fractional coordinates:
Hg 0.000 0.000 0.000 (multiplicity 1)
As 0.000 0.000 0.500 (multiplicity 1)
H 0.500 0.500 0.500 (multiplicity 1)
Br 0.000 0.500 0.000 (multiplicity 2)

Energy comparison, zero being the most stable, in meV/atom: A 0; B 402.

A.
VASP calculation (PBE) on a relaxed structure of HgAs2HBr.

Values from the calculation:
- total moment (Bohr magnetons per cell) = 2.62

a = 5.267 Å, b = 5.267 Å, c = 5.872 Å
α = 90.00°, β = 90.00°, γ = 90.00°
Space group P4/mmm (No. 123)
Inequivalent atoms, fractional coordinates:
Hg 0.000 0.000 0.000 (multiplicity 1)
As 0.000 0.500 0.000 (multiplicity 2)
H 0.500 0.500 0.500 (multiplicity 1)
Br 0.000 0.000 0.500 (multiplicity 1)

B.
VASP calculation (PBE) on a relaxed structure of HgAs2HBr.

Values from the calculation:
- total moment (Bohr magnetons per cell) = 0.00

a = 3.975 Å, b = 3.975 Å, c = 7.604 Å
α = 90.00°, β = 90.00°, γ = 90.00°
Space group P4/mmm (No. 123)
Inequivalent atoms, fractional coordinates:
Hg 0.000 0.000 0.000 (multiplicity 1)
As 0.000 0.500 0.500 (multiplicity 2)
H 0.500 0.500 0.500 (multiplicity 1)
Br 0.500 0.500 0.000 (multiplicity 1)

Energy comparison, zero being the most stable, in meV/atom: A 695; B 0.

A.
VASP calculation (PBE) on a relaxed structure of AsHIBr2.

Values from the calculation:
- total moment (Bohr magnetons per cell) = 3.00

a = 5.891 Å, b = 5.891 Å, c = 5.682 Å
α = 90.00°, β = 90.00°, γ = 90.00°
Space group P4/mmm (No. 123)
Inequivalent atoms, fractional coordinates:
As 0.000 0.000 0.000 (multiplicity 1)
H 0.500 0.500 0.000 (multiplicity 1)
I 0.000 0.000 0.500 (multiplicity 1)
Br 0.000 0.500 0.500 (multiplicity 2)

B.
VASP calculation (PBE) on a relaxed structure of AsHIBr2.

Values from the calculation:
- total moment (Bohr magnetons per cell) = 0.00

a = 5.734 Å, b = 5.734 Å, c = 3.500 Å
α = 90.00°, β = 90.00°, γ = 90.00°
Space group P4/mmm (No. 123)
Inequivalent atoms, fractional coordinates:
As 0.000 0.000 0.000 (multiplicity 1)
H 0.000 0.000 0.500 (multiplicity 1)
I 0.500 0.500 0.000 (multiplicity 1)
Br 0.000 0.500 0.500 (multiplicity 2)

Energy comparison, zero being the most stable, in meV/atom: A 306; B 0.

A.
VASP calculation (PBE) on a relaxed structure of InAs2HBr.

Values from the calculation:
- total moment (Bohr magnetons per cell) = 0.00

a = 4.087 Å, b = 4.087 Å, c = 6.793 Å
α = 90.00°, β = 90.00°, γ = 90.00°
Space group P4/mmm (No. 123)
Inequivalent atoms, fractional coordinates:
In 0.000 0.000 0.000 (multiplicity 1)
As 0.000 0.500 0.500 (multiplicity 2)
H 0.500 0.500 0.500 (multiplicity 1)
Br 0.500 0.500 0.000 (multiplicity 1)

B.
VASP calculation (PBE) on a relaxed structure of InAs2HBr.

Values from the calculation:
- total moment (Bohr magnetons per cell) = 3.11

a = 5.367 Å, b = 5.367 Å, c = 5.721 Å
α = 90.00°, β = 90.00°, γ = 90.00°
Space group P4/mmm (No. 123)
Inequivalent atoms, fractional coordinates:
In 0.000 0.000 0.000 (multiplicity 1)
As 0.000 0.500 0.000 (multiplicity 2)
H 0.500 0.500 0.500 (multiplicity 1)
Br 0.000 0.000 0.500 (multiplicity 1)

Energy comparison, zero being the most stable, in meV/atom: A 0; B 605.

A.
VASP calculation (PBE) on a relaxed structure of As2HIrBr.

Values from the calculation:
- total moment (Bohr magnetons per cell) = 0.00

a = 3.977 Å, b = 3.977 Å, c = 4.883 Å
α = 90.00°, β = 90.00°, γ = 90.00°
Space group P4/mmm (No. 123)
Inequivalent atoms, fractional coordinates:
As 0.000 0.500 0.000 (multiplicity 2)
H 0.000 0.000 0.000 (multiplicity 1)
Ir 0.500 0.500 0.500 (multiplicity 1)
Br 0.000 0.000 0.500 (multiplicity 1)

B.
VASP calculation (PBE) on a relaxed structure of As2HIrBr.

Values from the calculation:
- total moment (Bohr magnetons per cell) = 0.47

a = 4.730 Å, b = 4.730 Å, c = 5.620 Å
α = 90.00°, β = 90.00°, γ = 90.00°
Space group P4/mmm (No. 123)
Inequivalent atoms, fractional coordinates:
As 0.000 0.500 0.000 (multiplicity 2)
H 0.000 0.000 0.500 (multiplicity 1)
Ir 0.500 0.500 0.000 (multiplicity 1)
Br 0.500 0.500 0.500 (multiplicity 1)

Energy comparison, zero being the most stable, in meV/atom: A 66; B 0.